[1]
Crystalline RePSe2 at its relaxed geometry, computed with PBE.

Unit cell a=4.857 b=4.857 c=3.302 alpha=90.00 beta=90.00 gamma=118.13
Sites, in units of the cell vectors:
Re 0.500 0.500 0.500
P 0.000 0.000 0.500
Se 0.500 0.000 0.000
Se 0.000 0.500 0.000

## Properties
The total energy is -5.286 eV/atom. As for the space-group type: Cmmm, No. 65. The volume is 68.7 Å³/cell.

=====

[2]
Crystalline RePSe at its relaxed geometry, computed with PBE.

Unit cell a=7.927 b=7.702 c=2.882 alpha=83.79 beta=75.02 gamma=21.19
Sites, in units of the cell vectors:
Re 0.343 0.343 0.657
P 0.960 0.960 0.040
Se 0.697 0.697 0.303

## Properties
The calculation puts the polymorph energy (0 for the lowest one) at 673 meV/atom. As for the space-group type: Fmm2, No. 42. The volume is 56.8 Å³/cell.

=====

[3]
Crystalline RePSe2 at its relaxed geometry, computed with PBE.

Unit cell a=2.867 b=2.867 c=9.819 alpha=90.00 beta=90.00 gamma=117.08
Sites, in units of the cell vectors:
Re 0.500 0.500 0.000
P 0.500 0.500 0.500
Se 0.000 0.000 0.215
Se 0.000 0.000 0.785

## Properties
The total energy is -5.472 eV/atom. As for the space-group type: Cmmm, No. 65. The volume is 71.9 Å³/cell.

=====

[4]
Crystalline RePSe2 at its relaxed geometry, computed with PBE.

Unit cell a=7.448 b=7.448 c=7.448 alpha=154.61 beta=151.41 gamma=38.60
Sites, in units of the cell vectors:
Re 0.500 0.000 0.500
P 0.000 0.500 0.500
Se 0.860 0.860 0.000
Se 0.140 0.140 0.000

## Properties
The total energy is -5.935 eV/atom. As for the space-group type: Immm, No. 71. The volume is 84.6 Å³/cell.

=====

[5]
Crystalline RePSe at its relaxed geometry, computed with PBE.

Unit cell a=3.223 b=3.223 c=5.852 alpha=90.00 beta=90.00 gamma=120.00
Sites, in units of the cell vectors:
Re 0.667 0.333 0.320
P 0.000 0.000 0.056
Se 0.333 0.667 0.624

## Properties
The calculation puts the polymorph energy (0 for the lowest one) at 263 meV/atom. As for the space-group type: P3m1, No. 156. The volume is 52.6 Å³/cell.

=====

[6]
Crystalline RePSe2 at its relaxed geometry, computed with PBE.

Unit cell a=8.984 b=8.984 c=8.984 alpha=20.46 beta=20.46 gamma=20.46
Sites, in units of the cell vectors:
Re 0.500 0.500 0.500
Se 0.900 0.900 0.900
Se 0.100 0.100 0.100
P 0.000 0.000 0.000

## Properties
The total energy is -5.738 eV/atom. As for the space-group type: R-3m, No. 166. The volume is 77.6 Å³/cell.

=====

[7]
Crystalline RePSe2 at its relaxed geometry, computed with PBE.

Unit cell a=6.441 b=6.441 c=6.441 alpha=152.95 beta=139.47 gamma=49.41
Sites, in units of the cell vectors:
Re 0.729 0.229 0.500
P 0.576 0.576 0.000
Se 0.925 0.925 0.000
Se 0.270 0.770 0.500

## Properties
The total energy is -5.783 eV/atom. As for the space-group type: Imm2, No. 44. The volume is 78.7 Å³/cell.

=====

[8]
Crystalline RePSe2 at its relaxed geometry, computed with PBE.

Unit cell a=2.965 b=2.965 c=8.582 alpha=90.00 beta=90.00 gamma=90.00
Sites, in units of the cell vectors:
Re 0.500 0.500 0.500
P 0.500 0.500 0.000
Se 0.000 0.000 0.687
Se 0.000 0.000 0.313

## Properties
The total energy is -5.688 eV/atom. As for the space-group type: P4/mmm, No. 123. The volume is 75.4 Å³/cell.